ZnTcSe2: relaxed, GGA-PBE.

Geometry as CIF:
```
data_ZnTcSe2
_chemical_formula_sum 'Zn4 Tc4 Se8'
_cell_length_a 6.397
_cell_length_b 6.397
_cell_length_c 6.397
_cell_angle_alpha 90.00
_cell_angle_beta 90.00
_cell_angle_gamma 90.00
_space_group_name_H-M_alt 'F m -3 m'
_space_group_IT_number 225
_space_group_name_Hall '-F 4 2 3'
loop_
_atom_site_label
_atom_site_fract_x
_atom_site_fract_y
_atom_site_fract_z
Zn1 0.000 0.000 0.000
Tc1 0.000 0.000 0.500
Se1 0.250 0.250 0.250
```

Values from the calculation:
formation energy from raw total energies	3.86	kcal/mol of atoms
crystal system	cubic
energy above the most stable polymorph in this dataset	0.448	eV per atom